No. 1
Entry from the Alexandria database: Ca2VCl6 after structural relaxation (PBE).

Geometry as extended XYZ:
```
9
Lattice="-3.730 -4.298 4.003 2.077 -1.386 6.494 -3.760 2.774 5.522" Properties=species:S:1:pos:R:3 pbc="T T T"
Ca -3.500 -2.998 11.661
Ca -1.913 0.087 4.358
Cl -2.394 1.198 6.888
Cl -3.020 -4.109 9.131
Cl -2.864 -2.320 5.249
Cl -2.549 -0.592 10.770
Cl 0.188 -1.466 8.121
Cl -5.602 -1.445 7.898
V 0.000 0.000 0.000
```

## Properties
Uncorrected formation energy in eV per atom: -1.94
Space-group type: R-3

=====

No. 2
Entry from the Alexandria database: CaVCl3 after structural relaxation (PBE).

Geometry as extended XYZ:
```
5
Lattice="5.298 0.000 0.000 0.000 5.298 0.000 0.000 0.000 5.298" Properties=species:S:1:pos:R:3 pbc="T T T"
V 2.649 2.649 2.649
Cl 0.000 0.000 2.649
Cl 0.000 2.649 0.000
Cl 2.649 0.000 0.000
Ca 0.000 0.000 0.000
```

## Properties
Energy relative to the lowest polymorph listed for this composition in meV/atom: 182.3
Uncorrected formation energy in eV per atom: -0.91
Space-group type: Pm-3m
D(E_F) in states/eV/f.u.: 10.9

=====

No. 3
Entry from the Alexandria database: CaWCl2 after structural relaxation (PBE).

Geometry as extended XYZ:
```
4
Lattice="-9.408 1.892 0.169 -9.428 -1.021 -1.483 -9.362 -0.995 1.865" Properties=species:S:1:pos:R:3 pbc="T T T"
Ca -21.081 -0.092 0.412
Cl -0.478 -0.002 0.009
Cl -6.436 -0.028 0.126
W -14.301 -0.063 0.279
```

## Properties
Energy relative to the lowest polymorph listed for this composition in meV/atom: 0.0
Uncorrected formation energy in eV per atom: -0.45
Space-group type: R3m
D(E_F) in states/eV/f.u.: 3.4

=====

No. 4
Entry from the Alexandria database: CaW2Cl after structural relaxation (PBE).

Geometry as extended XYZ:
```
4
Lattice="6.819 0.000 0.000 0.000 3.662 0.000 0.000 0.000 3.662" Properties=species:S:1:pos:R:3 pbc="T T T"
W 0.000 0.000 0.000
W 0.000 1.831 1.831
Cl 3.409 0.000 1.831
Ca 3.409 1.831 0.000
```

## Properties
Energy relative to the lowest polymorph listed for this composition in meV/atom: 468.1
Uncorrected formation energy in eV per atom: 0.49
Space-group type: P4/mmm
D(E_F) in states/eV/f.u.: 4.1

=====

No. 5
Entry from the Alexandria database: Ca3WCl after structural relaxation (PBE).

Geometry as extended XYZ:
```
5
Lattice="5.526 0.000 0.000 0.000 5.526 0.000 0.000 0.000 5.526" Properties=species:S:1:pos:R:3 pbc="T T T"
W 0.000 0.000 0.000
Cl 2.763 2.763 2.763
Ca 0.000 2.763 0.000
Ca 0.000 0.000 2.763
Ca 2.763 0.000 0.000
```

## Properties
Energy relative to the lowest polymorph listed for this composition in meV/atom: 238.6
Uncorrected formation energy in eV per atom: 0.63
Space-group type: Pm-3m
D(E_F) in states/eV/f.u.: 4.8

=====

No. 6
Entry from the Alexandria database: CaW2Cl after structural relaxation (PBE).

Geometry as extended XYZ:
```
8
Lattice="4.888 0.000 0.000 0.000 4.888 0.000 2.444 2.444 8.422" Properties=species:S:1:pos:R:3 pbc="T T T"
Ca 4.888 2.444 4.211
Ca 0.000 0.000 0.000
W 2.322 1.222 2.105
W 3.666 5.009 6.316
W 2.565 3.666 2.105
W 6.109 4.766 6.316
Cl 2.444 2.444 0.000
Cl 2.444 4.888 4.211
```

## Properties
Energy relative to the lowest polymorph listed for this composition in meV/atom: 1294.7
Uncorrected formation energy in eV per atom: 1.31
Space-group type: I-42d
D(E_F) in states/eV/f.u.: 4.9

=====

No. 7
Entry from the Alexandria database: CaWCl2 after structural relaxation (PBE).

Geometry as extended XYZ:
```
4
Lattice="-7.619 -4.853 -3.395 -4.146 -7.406 -4.594 5.739 5.008 5.925" Properties=species:S:1:pos:R:3 pbc="T T T"
Cl -0.230 -0.239 -0.156
Cl -3.572 -2.665 -0.522
W -5.287 -5.509 -3.590
Ca -2.820 -4.967 -1.790
```

## Properties
Energy relative to the lowest polymorph listed for this composition in meV/atom: 179.0
Uncorrected formation energy in eV per atom: -0.27
Space-group type: Imm2
D(E_F) in states/eV/f.u.: 0.6

=====

No. 8
Entry from the Alexandria database: CaWCl2 after structural relaxation (PBE).

Geometry as extended XYZ:
```
8
Lattice="-2.209 3.958 -1.543 -4.191 -1.746 1.521 -2.042 4.527 7.107" Properties=species:S:1:pos:R:3 pbc="T T T"
W 0.000 0.000 0.000
W -3.725 4.795 2.776
Ca -4.716 1.943 4.308
Ca -3.200 1.106 -0.011
Cl -3.700 4.321 5.238
Cl -7.362 5.234 5.395
Cl -3.284 0.317 2.619
Cl -2.537 3.605 0.918
```

## Properties
Energy relative to the lowest polymorph listed for this composition in meV/atom: 517.6
Uncorrected formation energy in eV per atom: 0.07
Space-group type: I-42d
D(E_F) in states/eV/f.u.: 1.5